Here is crystalline Pm3Sm4Dy at its relaxed geometry from Alexandria. Energies are from PBE.

Cell lengths 6.3527, 7.3483, 11.6800 Å; angles 90.00, 90.00, 90.00 degrees
Fractional positions:
1 Pm 0.6479 0.6251 0.0000
2 Pm 0.9809 0.6244 0.2498
3 Pm 0.4809 0.3756 0.2502
4 Pm 0.1479 0.3749 0.5000
5 Pm 0.4809 0.3756 0.7498
6 Pm 0.9809 0.6244 0.7502
7 Sm 0.1486 0.8746 0.0000
8 Sm 0.6470 0.1247 0.0000
9 Sm 0.9813 0.1252 0.2485
10 Sm 0.4813 0.8748 0.2515
11 Sm 0.1470 0.8753 0.5000
12 Sm 0.6486 0.1254 0.5000
13 Sm 0.4813 0.8748 0.7485
14 Sm 0.9813 0.1252 0.7515
15 Dy 0.1475 0.3743 0.0000
16 Dy 0.6475 0.6257 0.5000

Results
Its formation energy is 28.7 meV/atom. The total energy is -4.688 eV per atom. As for the space-group type: Pmn2_1 (31).

---

Here is crystalline Dy3Zn2Ru at its relaxed geometry from Alexandria. Energies are from PBE.

Cell lengths 4.9415, 4.9415, 6.0895 Å; angles 90.00, 90.00, 120.00 degrees
Fractional positions:
1 Dy 0.0000 0.0000 0.5000
2 Dy 0.6667 0.3333 0.8463
3 Dy 0.3333 0.6667 0.1537
4 Zn 0.6667 0.3333 0.3431
5 Zn 0.3333 0.6667 0.6569
6 Ru 0.0000 0.0000 0.0000

Results
Its formation energy is -393.1 meV/atom. The total energy is -4.665 eV per atom. As for the space-group type: P-3m1 (164).

---

Here is crystalline CrCoTc2 at its relaxed geometry from Alexandria. Energies are from PBE.

Cell lengths 3.5786, 3.5786, 9.2637 Å; angles 78.86, 78.86, 90.00 degrees
Site moments in Bohr magnetons follow the coordinates.
Fractional positions:
1 Cr 0.5000 0.5000 0.0000  2.26
2 Cr 0.2500 0.7500 0.5000  2.25
3 Co 0.0000 0.0000 0.0000  -0.21
4 Co 0.7500 0.2500 0.5000  -0.21
5 Tc 0.6247 0.1250 0.2500  -0.03
6 Tc 0.1253 0.6250 0.2500  -0.03
7 Tc 0.3750 0.3753 0.7500  -0.03
8 Tc 0.8750 0.8747 0.7500  -0.03

Results
Its formation energy is 683.5 meV/atom. The total energy is -8.682 eV per atom. As for the space-group type: I-42d (122).

---

Here is crystalline Na2MgSnI6 at its relaxed geometry from Alexandria. Energies are from PBE.

Cell lengths 6.8503, 8.4200, 8.4200 Å; angles 90.00, 90.00, 90.00 degrees
Fractional positions:
1 Na 0.9131 0.5000 0.0000
2 Na 0.9131 0.0000 0.5000
3 Mg 0.6090 0.0000 0.0000
4 Sn 0.6273 0.5000 0.5000
5 I 0.7388 0.2377 0.2377
6 I 0.7388 0.2377 0.7623
7 I 0.2091 0.5000 0.5000
8 I 0.2200 0.0000 0.0000
9 I 0.7388 0.7623 0.7623
10 I 0.7388 0.7623 0.2377

Results
The total energy is -2.604 eV per atom. As for the space-group type: P4mm (99).

---

Here is crystalline Cd3SnHg3 at its relaxed geometry from Alexandria. Energies are from PBE.

Cell lengths 2.9730, 12.5604, 12.5604 Å; angles 120.00, 90.00, 90.00 degrees
Fractional positions:
1 Cd 0.7500 0.9229 0.3780
2 Cd 0.7500 0.4551 0.0771
3 Cd 0.2500 0.3780 0.4551
4 Cd 0.7500 0.6220 0.5449
5 Cd 0.2500 0.5449 0.9229
6 Cd 0.2500 0.0771 0.6220
7 Sn 0.2500 0.3333 0.6667
8 Sn 0.7500 0.6667 0.3333
9 Hg 0.7500 0.2960 0.2020
10 Hg 0.7500 0.9060 0.7040
11 Hg 0.2500 0.2020 0.9060
12 Hg 0.7500 0.7980 0.0940
13 Hg 0.2500 0.0940 0.2960
14 Hg 0.2500 0.7040 0.7980

Results
Its formation energy is 92.6 meV/atom. The total energy is -1.001 eV per atom. As for the space-group type: P6_3/m (176).

---

Here is crystalline Ce2PbF at its relaxed geometry from Alexandria. Energies are from PBE.

Cell lengths 3.5249, 3.5249, 10.3206 Å; angles 80.17, 80.17, 60.00 degrees
Site moments in Bohr magnetons follow the coordinates.
Fractional positions:
1 Pb 0.5000 0.5000 0.5000  -0.01
2 Ce 0.0756 0.0756 0.7731  0.93
3 Ce 0.9244 0.9244 0.2269  0.93
4 F 0.0000 0.0000 0.0000  -0.01

Results
The total energy is -5.546 eV per atom. As for the space-group type: R-3m (166).

---

Here is crystalline Tb2TmGa at its relaxed geometry from Alexandria. Energies are from PBE.

Cell lengths 4.7097, 4.7147, 4.7147 Å; angles 90.00, 90.00, 90.00 degrees
Fractional positions:
1 Tm 0.5000 0.5000 0.5000
2 Tb 0.0000 0.0000 0.5000
3 Tb 0.0000 0.5000 0.0000
4 Ga 0.5000 0.0000 0.0000

Results
Its formation energy is -239.9 meV/atom. The total energy is -4.430 eV per atom. As for the space-group type: P4/mmm (123).

---

Here is crystalline NaCa2GaPt at its relaxed geometry from Alexandria. Energies are from PBE.

Cell lengths 5.6346, 5.6346, 4.8672 Å; angles 90.00, 90.00, 90.00 degrees
Fractional positions:
1 Na 0.5000 0.5000 0.5000
2 Ca 0.0000 0.5000 0.0000
3 Ca 0.5000 0.0000 0.0000
4 Ga 0.0000 0.0000 0.5000
5 Pt 0.0000 0.0000 0.0000

Results
Its formation energy is -460.1 meV/atom. The total energy is -3.338 eV per atom. As for the space-group type: P4/mmm (123).